No. 1
This record from Alexandria via LeMat-Bulk describes a relaxed La3PrAg2 crystal. The functional is PBE-GGA.

The value obtained for the formation energy from the elements is -0.1621 eV per atom. The calculation puts the final energy at -4.37 eV per atom. The total magnetization comes out at 0.1 μB/f.u.

The structure belongs to space group P4/mmm (No. 123); the cell edges are 3.810, 3.810 and 12.788 Å and the angles 90.00°, 90.00° and 90.00°. Symmetry generates all atoms from La at (0.000, 0.000, 0.000), La at (0.000, 0.000, 0.300), Pr at (0.500, 0.500, 0.500) and Ag at (0.500, 0.500, 0.152).

No. 2
This record from Alexandria via LeMat-Bulk describes a relaxed LaEr5In4 crystal. The functional is PBE-GGA.

The value obtained for the formation energy from the elements is -0.3624 eV per atom. The calculation puts the final energy at -4.23 eV per atom. The total magnetization comes out at 0.0 μB/f.u.

The structure belongs to space group P4/mmm (No. 123); the cell edges are 3.529, 3.529 and 22.027 Å and the angles 90.00°, 90.00° and 90.00°. Symmetry generates all atoms from La at (0.000, 0.000, 0.000), Er at (0.500, 0.500, 0.121), Er at (0.500, 0.500, 0.310), Er at (0.500, 0.500, 0.500), In at (0.000, 0.000, 0.214) and In at (0.000, 0.000, 0.405).

No. 3
This record from Alexandria via LeMat-Bulk describes a relaxed AcPm2Cu3 crystal. The functional is PBE-GGA.

The value obtained for the formation energy from the elements is -0.1318 eV per atom. The calculation puts the final energy at -4.45 eV per atom. The total magnetization comes out at 0.0 μB/f.u.

The structure belongs to space group P4/mmm (No. 123); the cell edges are 3.641, 3.641 and 10.933 Å and the angles 90.00°, 90.00° and 90.00°. Symmetry generates all atoms from Ac at (0.000, 0.000, 0.000), Pm at (0.000, 0.000, 0.339), Cu at (0.500, 0.500, 0.189) and Cu at (0.500, 0.500, 0.500).

No. 4
This record from Alexandria via LeMat-Bulk describes a relaxed Na4U3VSe8 crystal. The functional is PBE-GGA.

The calculation puts the final energy at -5.87 eV per atom. The total magnetization comes out at 11.0 μB/f.u. As for the formation energy without anion corrections: -1.111 eV per atom.

The structure belongs to space group R-3m (No. 166, hexagonal axes); the cell edges are 8.0713, 8.0713 and 21.3376 Å and the angles 90.00°, 90.00° and 120.00°. Symmetry generates all atoms from Na at (0.0000, 0.0000, 0.0000), Na at (0.0000, 0.5000, 0.0000), U at (0.0000, 0.5000, 0.5000), V at (0.0000, 0.0000, 0.5000), Se at (0.0000, 0.0000, 0.2463) and Se at (0.0160, 0.5080, 0.2419).

No. 5
This record from Alexandria via LeMat-Bulk describes a relaxed Tl2InNi crystal. The functional is PBE-GGA.

The value obtained for the formation energy from the elements is 0.1618 eV per atom. The calculation puts the final energy at -3.15 eV per atom. The total magnetization comes out at 0.0 μB/f.u.

The structure belongs to space group P2/m (No. 10); the cell edges are 5.018, 3.540 and 6.490 Å and the angles 90.00°, 112.68° and 90.00°. Symmetry generates all atoms from Tl at (0.167, 0.000, 0.335), In at (0.500, 0.500, 0.000) and Ni at (0.000, 0.500, 0.000).

No. 6
This record from Alexandria via LeMat-Bulk describes a relaxed NaSr2Gd crystal. The functional is PBE-GGA.

The value obtained for the formation energy from the elements is 0.2986 eV per atom. The calculation puts the final energy at -4.39 eV per atom. The total magnetization comes out at 7.9 μB/f.u. As for the polymorph energy (0 for the lowest one): 18.0 kJ/mol of atoms.

The structure belongs to space group R-3m (No. 166, hexagonal axes); the cell edges are 3.8304, 3.8304 and 41.5807 Å and the angles 90.00°, 90.00° and 120.00°. Symmetry generates all atoms from Na at (0.0000, 0.0000, 0.0000), Sr at (0.0000, 0.0000, 0.4141) and Gd at (0.0000, 0.0000, 0.5000).